w.
The following is a DFT calculation (GGA-PBE) of a relaxed structure of RbNaCa.

Cell and atoms, written as CIF:
```
data_RbNaCa
_chemical_formula_sum 'Rb1 Na1 Ca1'
_symmetry_space_group_name_H-M 'P 3 m 1'
_symmetry_Int_Tables_number 156
_symmetry_space_group_name_Hall 'P 3 -2"'
_cell_length_a 4.1657
_cell_length_b 4.1657
_cell_length_c 10.3942
_cell_angle_alpha 90.00
_cell_angle_beta 90.00
_cell_angle_gamma 120.00
loop_
_atom_site_label
_atom_site_type_symbol
_atom_site_fract_x
_atom_site_fract_y
_atom_site_fract_z
Rb1 Rb 0.0000 0.0000 0.0000
Na1 Na 0.3333 0.6667 0.6478
Ca1 Ca 0.6667 0.3333 0.3623
```

x.
The following is a DFT calculation (GGA-PBE) of a relaxed structure of RbNaCa.

Cell and atoms, written as CIF:
```
data_RbNaCa
_chemical_formula_sum 'Rb2 Na2 Ca2'
_symmetry_space_group_name_H-M 'I 4 m m'
_symmetry_Int_Tables_number 107
_symmetry_space_group_name_Hall 'I 4 -2'
_cell_length_a 4.1821
_cell_length_b 4.1821
_cell_length_c 17.9042
_cell_angle_alpha 90.00
_cell_angle_beta 90.00
_cell_angle_gamma 90.00
loop_
_atom_site_label
_atom_site_type_symbol
_atom_site_fract_x
_atom_site_fract_y
_atom_site_fract_z
Rb1 Rb 0.0000 0.0000 0.0000
Na1 Na 0.0000 0.0000 0.6758
Ca1 Ca 0.0000 0.0000 0.3069
```

Energies relative to the minimum, meV per atom: w 13; x 0

w.
The following is a DFT calculation (GGA-PBE) of a relaxed structure of RbNaCa3.

Cell and atoms, written as CIF:
```
data_RbNaCa3
_chemical_formula_sum 'Rb1 Na1 Ca3'
_symmetry_space_group_name_H-M 'P m -3 m'
_symmetry_Int_Tables_number 221
_symmetry_space_group_name_Hall '-P 4 2 3'
_cell_length_a 6.9063
_cell_length_b 6.9063
_cell_length_c 6.9063
_cell_angle_alpha 90.00
_cell_angle_beta 90.00
_cell_angle_gamma 90.00
loop_
_atom_site_label
_atom_site_type_symbol
_atom_site_fract_x
_atom_site_fract_y
_atom_site_fract_z
Rb1 Rb 0.0000 0.0000 0.0000
Na1 Na 0.5000 0.5000 0.5000
Ca1 Ca 0.0000 0.0000 0.5000
```

x.
The following is a DFT calculation (GGA-PBE) of a relaxed structure of RbNaCa3.

Cell and atoms, written as CIF:
```
data_RbNaCa3
_chemical_formula_sum 'Rb1 Na1 Ca3'
_symmetry_space_group_name_H-M 'P m -3 m'
_symmetry_Int_Tables_number 221
_symmetry_space_group_name_Hall '-P 4 2 3'
_cell_length_a 6.4916
_cell_length_b 6.4916
_cell_length_c 6.4916
_cell_angle_alpha 90.00
_cell_angle_beta 90.00
_cell_angle_gamma 90.00
loop_
_atom_site_label
_atom_site_type_symbol
_atom_site_fract_x
_atom_site_fract_y
_atom_site_fract_z
Rb1 Rb 0.0000 0.0000 0.0000
Na1 Na 0.5000 0.5000 0.5000
Ca1 Ca 0.0000 0.5000 0.5000
```

Energies relative to the minimum, meV per atom: w 510; x 0